Entry 1:
A geometry-optimized CeGdZnTc structure. Source: the Alexandria database, functional PBE.

Unit cell a=4.981 b=4.981 c=4.981 alpha=60.00 beta=60.00 gamma=60.00
Fractional positions:
Ce 0.000 0.000 0.000
Gd 0.500 0.500 0.500
Zn 0.750 0.750 0.750
Tc 0.250 0.250 0.250

## Properties
As for the raw total energy: -8.016 eV/atom. The formation energy from the elements is -0.102 eV/atom.

***

Entry 2:
A geometry-optimized CeGdTe structure. Source: the Alexandria database, functional PBE.

Unit cell a=5.235 b=5.235 c=3.894 alpha=90.00 beta=90.00 gamma=120.00
Fractional positions:
Ce 0.000 0.000 0.000
Gd 0.667 0.333 0.500
Te 0.333 0.667 0.500

## Properties
As for the raw total energy: -8.242 eV/atom. Its uncorrected formation energy is -0.52 eV per atom. The calculation puts the offset from the most stable computed form at 182 meV per atom.

***

Entry 3:
A geometry-optimized CeGdTe structure. Source: the Alexandria database, functional PBE.

Unit cell a=6.430 b=6.430 c=6.430 alpha=144.18 beta=144.18 gamma=51.56
Fractional positions:
Ce 0.000 0.000 0.000
Gd 0.300 0.300 0.000
Te 0.659 0.659 0.000

## Properties
As for the raw total energy: -8.424 eV/atom. Its uncorrected formation energy is -0.71 eV per atom. The calculation puts the offset from the most stable computed form at 0 meV per atom.

***

Entry 4:
A geometry-optimized Ce2GdTe structure. Source: the Alexandria database, functional PBE.

Unit cell a=4.597 b=4.597 c=5.033 alpha=90.00 beta=90.00 gamma=90.00
Fractional positions:
Ce 0.000 0.500 0.000
Ce 0.500 0.000 0.000
Gd 0.000 0.000 0.500
Te 0.500 0.500 0.500

## Properties
As for the raw total energy: -7.819 eV/atom. Its uncorrected formation energy is -0.55 eV per atom. The calculation puts the offset from the most stable computed form at 0 meV per atom.

***

Entry 5:
A geometry-optimized Ce2GdTe structure. Source: the Alexandria database, functional PBE.

Unit cell a=5.462 b=5.462 c=5.462 alpha=60.00 beta=60.00 gamma=60.00
Fractional positions:
Ce 0.250 0.250 0.250
Ce 0.750 0.750 0.750
Gd 0.000 0.000 0.000
Te 0.500 0.500 0.500

## Properties
As for the raw total energy: -7.559 eV/atom. Its uncorrected formation energy is -0.29 eV per atom. The calculation puts the offset from the most stable computed form at 260 meV per atom.

***

Entry 6:
A geometry-optimized Ce2GdTh structure. Source: the Alexandria database, functional PBE.

Unit cell a=3.482 b=3.482 c=9.899 alpha=90.00 beta=90.00 gamma=90.00
Fractional positions:
Ce 0.000 0.000 0.242
Ce 0.000 0.000 0.758
Gd 0.500 0.500 0.500
Th 0.500 0.500 0.000

## Properties
As for the raw total energy: -8.281 eV/atom. The formation energy from the elements is 0.062 eV/atom. The calculation puts the offset from the most stable computed form at 0 meV per atom.

***

- raw total energy of number 1 (CeGdZnTc)?
  -8.016 eV/atom

***

- Look up the raw total energy of the sixth one.
  -8.281 eV/atom

***

- raw total energy of number 1 (CeGdZnTc)?
  -8.016 eV/atom

***

Copy entry 5 word for word.
A geometry-optimized Ce2GdTe structure. Source: the Alexandria database, functional PBE.

Unit cell a=5.462 b=5.462 c=5.462 alpha=60.00 beta=60.00 gamma=60.00
Fractional positions:
Ce 0.250 0.250 0.250
Ce 0.750 0.750 0.750
Gd 0.000 0.000 0.000
Te 0.500 0.500 0.500

## Properties
As for the raw total energy: -7.559 eV/atom. Its uncorrected formation energy is -0.29 eV per atom. The calculation puts the offset from the most stable computed form at 260 meV per atom.